Here is crystalline PrDyY at its relaxed geometry from Alexandria. Energies are from PBE.

Calculated values
ΔH_f (0 K), eV/atom: 0.062

```
data_PrDyY
_chemical_formula_sum 'Pr1 Dy1 Y1'
_space_group_name_H-M_alt 'P -6 m 2'
_space_group_IT_number 187
_space_group_name_Hall 'P -6 2'
_cell_length_a 5.6856
_cell_length_b 5.6856
_cell_length_c 3.5573
_cell_angle_alpha 90.00
_cell_angle_beta 90.00
_cell_angle_gamma 120.00
loop_
_atom_site_label
_atom_site_type_symbol
_atom_site_fract_x
_atom_site_fract_y
_atom_site_fract_z
Pr1 Pr 0.0000 0.0000 0.0000
Dy1 Dy 0.3333 0.6667 0.0000
Y1 Y 0.6667 0.3333 0.5000
```